1.
Density functional theory data (PBE) for a relaxed NaTmP2Pt4 crystal.

Cell lengths 4.0109, 4.0109, 9.8610 Å; angles 90.00, 90.00, 90.00 degrees
With the nearest neighbours (Å) after each atom.
Atoms (fractional coordinates):
Na: 0.0000 0.0000 0.0000  8 P 3.25, 8 Pt 3.45
Tm: 0.0000 0.0000 0.5000  8 Pt 2.92
P: 0.5000 0.5000 0.1607  4 Pt 2.35
P: 0.5000 0.5000 0.8393  4 Pt 2.35
Pt: 0.0000 0.5000 0.2850  2 P 2.35
Pt: 0.0000 0.5000 0.7150  2 P 2.35
Pt: 0.5000 0.0000 0.2850  2 P 2.35
Pt: 0.5000 0.0000 0.7150  2 P 2.35

- Energy of formation from the pure elements: -0.726 eV per atom
- Crystal system: tetragonal
- Calculated volume: 19.829 Å³/atom

***

2.
Density functional theory data (PBE) for a relaxed NaYP2Pt4 crystal.

Cell lengths 4.0183, 4.0183, 9.9541 Å; angles 90.00, 90.00, 90.00 degrees
With the nearest neighbours (Å) after each atom.
Atoms (fractional coordinates):
Na: 0.0000 0.0000 0.0000  8 P 3.25, 8 Pt 3.44
Y: 0.0000 0.0000 0.5000  8 Pt 2.97
P: 0.5000 0.5000 0.1586  4 Pt 2.35
P: 0.5000 0.5000 0.8414  4 Pt 2.35
Pt: 0.0000 0.5000 0.2808  2 P 2.35
Pt: 0.0000 0.5000 0.7192  2 P 2.35
Pt: 0.5000 0.0000 0.2808  2 P 2.35
Pt: 0.5000 0.0000 0.7192  2 P 2.35

- Energy of formation from the pure elements: -0.706 eV per atom
- Crystal system: tetragonal
- Calculated volume: 20.091 Å³/atom

***

3.
Density functional theory data (PBE) for a relaxed Na2ZnP3Pt12 crystal.

Cell lengths 7.4283, 7.4283, 7.4283 Å; angles 67.30, 67.30, 67.30 degrees
With the nearest neighbours (Å) after each atom.
Atoms (fractional coordinates):
Na: 0.0991 0.0991 0.0991  6 Pt 2.88-2.92
Na: 0.9009 0.9009 0.9009  6 Pt 2.88-2.92
Zn: 0.5000 0.5000 0.5000  6 Pt 2.51
P: 0.0000 0.5000 0.5000  6 Pt 2.25-2.32
P: 0.5000 0.0000 0.5000  6 Pt 2.25-2.32
P: 0.5000 0.5000 0.0000  6 Pt 2.25-2.32
Pt: 0.1231 0.6351 0.6351  1 P 2.25, 1 Zn 2.51
Pt: 0.1531 0.1531 0.5993  2 P 2.32
Pt: 0.1531 0.5993 0.1531  2 P 2.32
Pt: 0.3649 0.3649 0.8769  1 P 2.25, 1 Zn 2.51
Pt: 0.3649 0.8769 0.3649  1 P 2.25, 1 Zn 2.51
Pt: 0.4007 0.8469 0.8469  2 P 2.32
Pt: 0.5993 0.1531 0.1531  2 P 2.32
Pt: 0.6351 0.1231 0.6351  1 P 2.25, 1 Zn 2.51
Pt: 0.6351 0.6351 0.1231  1 P 2.25, 1 Zn 2.51
Pt: 0.8469 0.4007 0.8469  2 P 2.32
Pt: 0.8469 0.8469 0.4007  2 P 2.32
Pt: 0.8769 0.3649 0.3649  1 P 2.25, 1 Zn 2.51

- Energy of formation from the pure elements: -0.182 eV per atom
- Crystal system: trigonal
- Calculated volume: 18.614 Å³/atom

***

4.
Density functional theory data (PBE) for a relaxed NaPuP crystal.

Cell lengths 7.9156, 7.1395, 8.6771 Å; angles 59.11, 50.72, 70.17 degrees
With the nearest neighbours (Å) after each atom.
Atoms (fractional coordinates):
Na: 0.2956 0.7044 0.4527  3 P 2.83-3.00
Na: 0.7027 0.7973 0.5456  3 P 2.83-3.00
Na: 0.7044 0.2956 0.5473  3 P 2.83-3.00
Na: 0.7973 0.7027 0.9544  3 P 2.83-3.00
Pu: 0.2172 0.9367 0.0304  4 P 2.82-2.89
Pu: 0.2196 0.4344 0.0328  4 P 2.82-2.89
Pu: 0.4344 0.2196 0.3133  4 P 2.82-2.89
Pu: 0.9367 0.2172 0.8156  4 P 2.82-2.89
P: 0.0736 0.5271 0.3882  4 Pu 2.82-2.89, 3 Na 2.83-3.00
P: 0.2388 0.8618 0.7229  4 Pu 2.82-2.89, 3 Na 2.83-3.00
P: 0.5271 0.0736 0.0112  4 Pu 2.82-2.89, 3 Na 2.83-3.00
P: 0.8618 0.2388 0.1764  4 Pu 2.82-2.89, 3 Na 2.83-3.00

- Energy of formation from the pure elements: -0.480 eV per atom
- Crystal system: orthorhombic
- Calculated volume: 27.138 Å³/atom

***

5.
Density functional theory data (PBE) for a relaxed RbNa2P2 crystal.

Cell lengths 6.4926, 6.4926, 6.4926 Å; angles 135.26, 135.26, 65.13 degrees
With the nearest neighbours (Å) after each atom.
Atoms (fractional coordinates):
Rb: 0.0000 0.0000 0.0000  8 P 3.66, 8 Na 3.69
Na: 0.2500 0.7500 0.5000  4 P 2.97
Na: 0.7500 0.2500 0.5000  4 P 2.97
P: 0.4011 0.4011 0.0000  1 P 2.16
P: 0.5989 0.5989 0.0000  1 P 2.16

- Energy of formation from the pure elements: -0.300 eV per atom
- Offset from the most stable computed form: 0.0000 eV per atom
- Crystal system: tetragonal
- Calculated volume: 26.731 Å³/atom

***

6.
Density functional theory data (PBE) for a relaxed Rb4Na3P2 crystal.

Cell lengths 10.0571, 10.0571, 8.4184 Å; angles 106.54, 106.54, 28.06 degrees
With the nearest neighbours (Å) after each atom.
Atoms (fractional coordinates):
Rb: 0.0707 0.0707 0.3190  2 P 3.42-3.55, 2 Na 3.59
Rb: 0.2746 0.2746 0.8326  1 Na 3.55, 3 P 3.59-3.65
Rb: 0.7254 0.7254 0.1674  1 Na 3.55, 3 P 3.59-3.65
Rb: 0.9293 0.9293 0.6810  2 P 3.42-3.55, 2 Na 3.59
Na: 0.3969 0.3969 0.2386  2 P 2.80
Na: 0.5000 0.5000 0.0000  2 Na 3.23, 4 P 3.34, 4 Rb 3.59
Na: 0.6031 0.6031 0.7614  2 P 2.80
P: 0.1036 0.1036 0.9262  2 Na 2.80
P: 0.8964 0.8964 0.0738  2 Na 2.80

- Energy of formation from the pure elements: -0.129 eV per atom
- Crystal system: monoclinic
- Calculated volume: 42.543 Å³/atom